Version a
A relaxed CsTl3W crystal, computed with PBE.

Cell: 6.4214 6.4214 6.4214 Å, 90.00 90.00 90.00°
Sites, in units of the cell vectors:
1 Tl 0.0000 0.5000 0.0000
2 Tl 0.0000 0.0000 0.5000
3 Cs 0.0000 0.0000 0.0000
4 W 0.5000 0.5000 0.5000
5 Tl 0.5000 0.0000 0.0000

Theoretical density = 5.83 g/cm³
Space group = No. 221
Spin magnetization = 4.5 μB per cell

***

Version b
A relaxed CsTl3W crystal, computed with PBE.

Cell: 5.5157 5.5157 5.5157 Å, 90.00 90.00 90.00°
Sites, in units of the cell vectors:
1 Cs 0.5000 0.5000 0.5000
2 Tl 0.5000 0.0000 0.0000
3 W 0.0000 0.0000 0.0000
4 Tl 0.0000 0.5000 0.0000
5 Tl 0.0000 0.0000 0.5000

Theoretical density = 9.20 g/cm³
Space group = No. 221
Spin magnetization = 0.0 μB per cell

***

The relative energies come out as version a 1693; version b 0, with values in meV/atom.

***

Version a
A relaxed Cs3Tl4Zn crystal, computed with PBE.

Cell: 7.2386 6.8487 15.0729 Å, 90.00 90.00 90.00°
Sites, in units of the cell vectors:
1 Tl 0.0086 0.2473 0.0000
2 Cs 0.5235 0.0000 0.0000
3 Tl 0.9914 0.2527 0.5000
4 Cs 0.7994 0.5000 0.2461
5 Zn 0.3245 0.0000 0.5000
6 Cs 0.2006 0.0000 0.7461
7 Tl 0.0086 0.7527 0.0000
8 Tl 0.6700 0.0000 0.6081
9 Cs 0.2006 0.0000 0.2539
10 Tl 0.3300 0.5000 0.1081
11 Zn 0.6755 0.5000 0.0000
12 Tl 0.9914 0.7473 0.5000
13 Cs 0.4765 0.5000 0.5000
14 Tl 0.6700 0.0000 0.3919
15 Cs 0.7994 0.5000 0.7539
16 Tl 0.3300 0.5000 0.8919

Theoretical density = 5.70 g/cm³
Space group = No. 59
Spin magnetization = 0.0 μB per cell

***

Version b
A relaxed Cs3Tl4Zn crystal, computed with PBE.

Cell: 8.0448 8.0448 8.0448 Å, 118.77 83.91 128.66°
Sites, in units of the cell vectors:
1 Zn 0.0197 0.5000 0.5197
2 Tl 0.0523 0.7393 0.3130
3 Tl 0.5737 0.2607 0.3130
4 Tl 0.2313 0.6970 0.9283
5 Cs 0.5647 0.7565 0.3212
6 Cs 0.9134 0.0000 0.9134
7 Tl 0.2313 0.3030 0.5342
8 Cs 0.5647 0.2435 0.8081

Theoretical density = 6.23 g/cm³
Space group = No. 44
Spin magnetization = 0.0 μB per cell

***

The relative energies come out as version a 0; version b 11, with values in meV/atom.

***

Version a
A relaxed CsZr3V crystal, computed with PBE.

Cell: 5.1793 5.1793 5.1793 Å, 90.00 90.00 90.00°
Sites, in units of the cell vectors:
1 Cs 0.5000 0.5000 0.5000
2 Zr 0.0000 0.5000 0.0000
3 Zr 0.5000 0.0000 0.0000
4 V 0.0000 0.0000 0.0000
5 Zr 0.0000 0.0000 0.5000

Theoretical density = 5.47 g/cm³
Space group = No. 221
Spin magnetization = 0.0 μB per cell

***

Version b
A relaxed CsZr3V crystal, computed with PBE.

Cell: 5.1954 5.1954 5.1954 Å, 90.00 90.00 90.00°
Sites, in units of the cell vectors:
1 Cs 0.0000 0.0000 0.0000
2 Zr 0.5000 0.0000 0.0000
3 Zr 0.0000 0.0000 0.5000
4 Zr 0.0000 0.5000 0.0000
5 V 0.5000 0.5000 0.5000

Theoretical density = 5.42 g/cm³
Space group = No. 221
Spin magnetization = 0.4 μB per cell

***

The relative energies come out as version a 0; version b 1363, with values in meV/atom.

***

Version a
A relaxed CsY3W crystal, computed with PBE.

Cell: 5.4173 5.4173 5.4173 Å, 90.00 90.00 90.00°
Sites, in units of the cell vectors:
1 Y 0.5000 0.0000 0.0000
2 Y 0.0000 0.5000 0.0000
3 Y 0.0000 0.0000 0.5000
4 Cs 0.0000 0.0000 0.0000
5 W 0.5000 0.5000 0.5000

Theoretical density = 6.09 g/cm³
Space group = No. 221
Spin magnetization = 0.0 μB per cell

***

Version b
A relaxed CsY3W crystal, computed with PBE.

Cell: 5.6856 5.6856 5.6856 Å, 90.00 90.00 90.00°
Sites, in units of the cell vectors:
1 Y 0.5000 0.0000 0.0000
2 Cs 0.5000 0.5000 0.5000
3 W 0.0000 0.0000 0.0000
4 Y 0.0000 0.0000 0.5000
5 Y 0.0000 0.5000 0.0000

Theoretical density = 5.27 g/cm³
Space group = No. 221
Spin magnetization = 1.0 μB per cell

***

The relative energies come out as version a 1507; version b 0, with values in meV/atom.

***

Version a
A relaxed CsZnW crystal, computed with PBE.

Cell: 3.5203 6.8337 16.2273 Å, 90.00 90.27 90.00°
Sites, in units of the cell vectors:
1 Zn 0.2142 0.6873 0.0008
2 W 0.7145 0.5000 0.5040
3 Cs 0.7197 0.5000 0.1765
4 Cs 0.7107 0.0000 0.3208
5 W 0.7145 0.0000 0.0040
6 Zn 0.2142 0.3127 0.0008
7 Zn 0.2142 0.1873 0.5008
8 Zn 0.2142 0.8127 0.5008
9 Cs 0.7197 0.0000 0.6765
10 W 0.2123 0.0000 0.9010
11 W 0.2123 0.5000 0.4010
12 Cs 0.7107 0.5000 0.8208

Theoretical density = 6.50 g/cm³
Space group = No. 8
Spin magnetization = 0.0 μB per cell

***

Version b
A relaxed CsZnW crystal, computed with PBE.

Cell: 3.0745 3.0745 15.8361 Å, 90.00 90.00 90.00°
Sites, in units of the cell vectors:
1 Zn 0.5000 0.5000 0.1789
2 Cs 0.5000 0.5000 0.4834
3 W 0.0000 0.0000 0.2785
4 Cs 0.0000 0.0000 0.9834
5 Zn 0.0000 0.0000 0.6789
6 W 0.5000 0.5000 0.7785

Theoretical density = 8.48 g/cm³
Space group = No. 107
Spin magnetization = 0.0 μB per cell

***

Version c
A relaxed CsZnW crystal, computed with PBE.

Cell: 3.4533 4.2462 13.3984 Å, 98.21 94.42 90.00°
Sites, in units of the cell vectors:
1 Zn 0.0737 0.5953 0.2985
2 Cs 0.6406 0.2445 0.5328
3 Cs 0.9549 0.8965 0.8889
4 W 0.5678 0.0851 0.2774
5 Zn 0.5211 0.5146 0.1229
6 W 0.0273 0.0248 0.1443

Theoretical density = 6.55 g/cm³
Space group = No. 1
Spin magnetization = 0.0 μB per cell

***

Version d
A relaxed CsZnW crystal, computed with PBE.

Cell: 3.3596 3.3794 29.2693 Å, 90.00 94.92 90.00°
Sites, in units of the cell vectors:
1 Zn 0.8397 0.5000 0.8220
2 Cs 0.5720 0.5000 0.5832
3 Cs 0.4280 0.0000 0.9168
4 Zn 0.1603 0.5000 0.1780
5 Cs 0.5720 0.0000 0.0832
6 Cs 0.4280 0.5000 0.4168
7 W 0.6957 0.5000 0.7269
8 Zn 0.8397 0.0000 0.3220
9 Zn 0.1603 0.0000 0.6780
10 W 0.3043 0.5000 0.2731
11 W 0.6957 0.0000 0.2269
12 W 0.3043 0.0000 0.7731

Theoretical density = 7.67 g/cm³
Space group = No. 12
Spin magnetization = 0.7 μB per cell

***

The relative energies come out as version a 336; version b 736; version c 105; version d 0, with values in meV/atom.

***

Version a
A relaxed CsZr2W crystal, computed with PBE.

Cell: 5.0845 5.0845 5.0845 Å, 60.00 60.00 60.00°
Sites, in units of the cell vectors:
1 Zr 0.7500 0.7500 0.7500
2 Cs 0.0000 0.0000 0.0000
3 Zr 0.2500 0.2500 0.2500
4 W 0.5000 0.5000 0.5000

Theoretical density = 8.92 g/cm³
Space group = No. 225
Spin magnetization = 0.0 μB per cell

***

Version b
A relaxed CsZr2W crystal, computed with PBE.

Cell: 8.0908 8.0908 8.0889 Å, 59.99 59.99 90.00°
Sites, in units of the cell vectors:
1 Cs 0.2500 0.7500 0.5000
2 Zr 0.8750 0.1250 0.2500
3 W 0.0000 0.0000 0.0000
4 Zr 0.3750 0.1250 0.7500
5 W 0.7500 0.2500 0.5000
6 Zr 0.8750 0.6250 0.2500
7 Cs 0.5000 0.5000 0.0000
8 Zr 0.8750 0.1250 0.7500

Theoretical density = 4.43 g/cm³
Space group = No. 227
Spin magnetization = 0.0 μB per cell

***

The relative energies come out as version a 0; version b 173, with values in meV/atom.

***

Version a
A relaxed CsZrW2 crystal, computed with PBE.

Cell: 4.7944 4.7944 10.5415 Å, 76.86 76.86 90.00°
Sites, in units of the cell vectors:
1 Cs 0.0000 0.0000 0.0000
2 Zr 0.5000 0.5000 0.0000
3 W 0.8750 0.5385 0.7500
4 Zr 0.2500 0.7500 0.5000
5 Cs 0.7500 0.2500 0.5000
6 W 0.2885 0.1250 0.2500
7 W 0.4615 0.6250 0.2500
8 W 0.3750 0.7115 0.7500

Theoretical density = 8.57 g/cm³
Space group = No. 122
Spin magnetization = 0.0 μB per cell

***

Version b
A relaxed CsZrW2 crystal, computed with PBE.

Cell: 4.9200 4.9200 4.9200 Å, 60.00 60.00 60.00°
Sites, in units of the cell vectors:
1 W 0.2500 0.2500 0.2500
2 Zr 0.0000 0.0000 0.0000
3 Cs 0.5000 0.5000 0.5000
4 W 0.7500 0.7500 0.7500

Theoretical density = 11.67 g/cm³
Space group = No. 225
Spin magnetization = 0.0 μB per cell

***

The relative energies come out as version a 32; version b 0, with values in meV/atom.

***

Version a
A relaxed CsY3Zn crystal, computed with PBE.

Cell: 5.7029 5.7029 5.7029 Å, 90.00 90.00 90.00°
Sites, in units of the cell vectors:
1 Cs 0.5000 0.5000 0.5000
2 Y 0.0000 0.5000 0.0000
3 Y 0.0000 0.0000 0.5000
4 Y 0.5000 0.0000 0.0000
5 Zn 0.0000 0.0000 0.0000

Theoretical density = 4.16 g/cm³
Space group = No. 221
Spin magnetization = 0.0 μB per cell

***

Version b
A relaxed CsY3Zn crystal, computed with PBE.

Cell: 5.6219 5.6219 5.6219 Å, 90.00 90.00 90.00°
Sites, in units of the cell vectors:
1 Y 0.0000 0.5000 0.0000
2 Y 0.5000 0.0000 0.0000
3 Y 0.0000 0.0000 0.5000
4 Zn 0.5000 0.5000 0.5000
5 Cs 0.0000 0.0000 0.0000

Theoretical density = 4.35 g/cm³
Space group = No. 221
Spin magnetization = 0.0 μB per cell

***

The relative energies come out as version a 0; version b 1007, with values in meV/atom.

***

Version a
A relaxed CsYZr2 crystal, computed with PBE.

Cell: 5.5087 5.5087 5.5087 Å, 60.00 60.00 60.00°
Sites, in units of the cell vectors:
1 Cs 0.5000 0.5000 0.5000
2 Zr 0.7500 0.7500 0.7500
3 Y 0.0000 0.0000 0.0000
4 Zr 0.2500 0.2500 0.2500

Theoretical density = 5.68 g/cm³
Space group = No. 225
Spin magnetization = 0.0 μB per cell

***

Version b
A relaxed CsYZr2 crystal, computed with PBE.

Cell: 4.5273 4.5273 12.0608 Å, 79.18 79.18 90.00°
Sites, in units of the cell vectors:
1 Zr 0.6135 0.1250 0.2500
2 Zr 0.1365 0.6250 0.2500
3 Cs 0.0000 0.0000 0.0000
4 Cs 0.7500 0.2500 0.5000
5 Zr 0.8750 0.8635 0.7500
6 Y 0.5000 0.5000 0.0000
7 Y 0.2500 0.7500 0.5000
8 Zr 0.3750 0.3865 0.7500

Theoretical density = 5.63 g/cm³
Space group = No. 122
Spin magnetization = 0.0 μB per cell

***

The relative energies come out as version a 0; version b 6, with values in meV/atom.

***

Version a
A relaxed CsZn crystal, computed with PBE.

Cell: 5.8388 4.9002 7.3367 Å, 90.00 113.45 90.00°
Sites, in units of the cell vectors:
1 Zn 0.9692 0.2500 0.9379
2 Zn 0.0308 0.7500 0.0621
3 Cs 0.3517 0.7500 0.7038
4 Cs 0.6483 0.2500 0.2962

Theoretical density = 3.42 g/cm³
Space group = No. 63
Spin magnetization = 0.0 μB per cell

***

Version b
A relaxed CsZn crystal, computed with PBE.

Cell: 12.9089 12.9089 4.6820 Å, 90.00 90.00 120.00°
Sites, in units of the cell vectors:
1 Cs 0.2630 0.8668 0.2500
2 Zn 0.8617 0.9081 0.7500
3 Cs 0.1332 0.3962 0.2500
4 Cs 0.7370 0.1332 0.7500
5 Zn 0.9081 0.0463 0.2500
6 Cs 0.8668 0.6038 0.7500
7 Cs 0.6038 0.7370 0.2500
8 Zn 0.0919 0.9537 0.7500
9 Cs 0.3962 0.2630 0.7500
10 Zn 0.0463 0.1383 0.7500
11 Zn 0.1383 0.0919 0.2500
12 Zn 0.9537 0.8617 0.2500

Theoretical density = 2.92 g/cm³
Space group = No. 176
Spin magnetization = 0.0 μB per cell

***

Version c
A relaxed CsZn crystal, computed with PBE.

Cell: 13.5140 13.5140 4.8687 Å, 90.00 90.00 90.00°
Sites, in units of the cell vectors:
1 Zn 0.5000 0.9022 0.5000
2 Zn 0.9022 0.5000 0.5000
3 Zn 0.5000 0.8399 0.0000
4 Cs 0.0000 0.7175 0.0000
5 Cs 0.7175 0.0000 0.0000
6 Cs 0.3300 0.3300 0.5000
7 Cs 0.6700 0.6700 0.5000
8 Cs 0.0000 0.2825 0.0000
9 Cs 0.3300 0.6700 0.5000
10 Zn 0.1601 0.5000 0.0000
11 Zn 0.0978 0.5000 0.5000
12 Cs 0.6700 0.3300 0.5000
13 Zn 0.5000 0.1601 0.0000
14 Zn 0.8399 0.5000 0.0000
15 Zn 0.5000 0.0978 0.5000
16 Cs 0.2825 0.0000 0.0000

Theoretical density = 2.96 g/cm³
Space group = No. 123
Spin magnetization = 0.0 μB per cell

***

The relative energies come out as version a 53; version b 0; version c 45, with values in meV/atom.

***

Version a
A relaxed CsZn crystal, computed with PBE.

Cell: 8.1128 8.1954 11.7575 Å, 90.00 90.00 90.00°
Sites, in units of the cell vectors:
1 Cs 0.3898 0.7500 0.8818
2 Cs 0.1102 0.2500 0.3818
3 Zn 0.0908 0.4096 0.0641
4 Zn 0.4092 0.5904 0.5641
5 Zn 0.0908 0.0904 0.0641
6 Zn 0.5908 0.4096 0.4359
7 Cs 0.8898 0.7500 0.6182
8 Zn 0.4092 0.9096 0.5641
9 Cs 0.8397 0.7500 0.2319
10 Zn 0.5908 0.0904 0.4359
11 Zn 0.9092 0.9096 0.9359
12 Zn 0.9092 0.5904 0.9359
13 Cs 0.6603 0.2500 0.7319
14 Cs 0.1603 0.2500 0.7681
15 Cs 0.3397 0.7500 0.2681
16 Cs 0.6102 0.2500 0.1182

Theoretical density = 3.37 g/cm³
Space group = No. 62
Spin magnetization = 0.0 μB per cell

***

Version b
A relaxed CsZn crystal, computed with PBE.

Cell: 10.6660 10.6660 10.6660 Å, 90.00 90.00 90.00°
Sites, in units of the cell vectors:
1 Zn 0.0000 0.5000 0.7500
2 Zn 0.5000 0.2500 0.0000
3 Cs 0.0000 0.2500 0.5000
4 Cs 0.7500 0.5000 0.0000
5 Zn 0.0000 0.5000 0.2500
6 Cs 0.5000 0.0000 0.7500
7 Zn 0.5000 0.7500 0.0000
8 Cs 0.5000 0.0000 0.2500
9 Cs 0.0000 0.7500 0.5000
10 Zn 0.7500 0.0000 0.5000
11 Zn 0.2500 0.0000 0.5000
12 Cs 0.2500 0.5000 0.0000

Theoretical density = 1.63 g/cm³
Space group = No. 223
Spin magnetization = 3.8 μB per cell

***

The relative energies come out as version a 0; version b 371, with values in meV/atom.